An optimized crystal structure of TlHg3Au3. Source: the Alexandria database, functional PBE.

Calculated total energy   -22.28 eV for the cell shown
Formation energy   0.281 eV per atom
Distance to the lowest polymorph of the same formula   1.83 eV per formula unit

Cell: 7.8102 7.8102 7.8102 Å, 90.00 90.00 90.00°
Sites, in units of the cell vectors:
1 Tl 0.0000 0.0000 0.0000
2 Tl 0.5000 0.5000 0.5000
3 Hg 0.0000 0.2500 0.5000
4 Hg 0.0000 0.7500 0.5000
5 Hg 0.2500 0.5000 0.0000
6 Hg 0.5000 0.0000 0.2500
7 Hg 0.5000 0.0000 0.7500
8 Hg 0.7500 0.5000 0.0000
9 Au 0.0000 0.5000 0.2500
10 Au 0.0000 0.5000 0.7500
11 Au 0.2500 0.0000 0.5000
12 Au 0.5000 0.2500 0.0000
13 Au 0.5000 0.7500 0.0000
14 Au 0.7500 0.0000 0.5000